Density functional theory data (GGA-PBE) for a geometry-optimized MoPt3 structure.

The value obtained for the density of states at the Fermi level is 0.81 states/eV per atom. For the total energy, the calculation gives -7.487 eV/atom. For the total magnetization, the calculation gives 0.000 μB per atom.

It has space group C2/m (No. 12), with a = 9.3154 Å, b = 2.7914 Å, c = 4.8498 Å, α = 90.00°, β = 99.94° and γ = 90.00°. The inequivalent atoms are Mo at (0.0000, 0.0000, 0.0000), Pt at (0.0000, 0.5000, 0.5000) and Pt at (0.2466, 0.5000, 0.2434).